Crystalline Dy3AsO7 at its relaxed geometry, computed with GGA-PBE.

Calculated values
Fermi-level density of states, states/eV/cell: 0.0
Crystal system: orthorhombic
Calculated total energy, eV per cell: -170.22
Space-group type: C222_1
ΔE_f (raw), eV/f.u.: -31.95
V, Å³ per atom: 12.7

Cell: 6.358 6.358 7.343 Å, 90.00 90.00 109.14°
Positions (direct):
Dy 0.021 0.021 0.000
Dy 0.035 0.498 0.253
Dy 0.498 0.035 0.747
Dy 0.502 0.965 0.247
Dy 0.965 0.502 0.753
Dy 0.979 0.979 0.500
As 0.499 0.499 0.500
As 0.501 0.501 0.000
O 0.130 0.870 0.750
O 0.137 0.863 0.250
O 0.191 0.430 0.974
O 0.199 0.445 0.532
O 0.430 0.191 0.026
O 0.440 0.560 0.250
O 0.445 0.199 0.468
O 0.555 0.801 0.968
O 0.560 0.440 0.750
O 0.570 0.809 0.526
O 0.801 0.555 0.032
O 0.809 0.570 0.474
O 0.863 0.137 0.750
O 0.870 0.130 0.250